Entry 1:
A plane-wave DFT calculation with GGA-PBE was carried out for a relaxed Na3Zr3MnSe8 crystal.

Computed properties:
The calculation puts the uncorrected formation energy at -1.19 eV per atom. The space group is R-3m, No. 166. For the volume, the calculation gives 369.0 Å³/cell. As for the total energy: -5.63 eV/atom.

abc: 7.7188 7.7205 8.4259
angles: 117.30 90.01 119.97
Closest atoms and distances in Å follow each position.
Element x y z (fractional)
Na 0.5000 0.5000 0.0000  6 Se 2.97-3.01
Na 0.0000 0.5000 0.0000  6 Se 2.97-3.01
Na 0.0000 0.0000 0.0000  6 Se 2.97-3.01
Se 0.2387 0.9776 0.7169  2 Zr 2.71-2.72, 1 Mn 2.72, 2 Na 3.01
Se 0.7610 0.5216 0.2832  2 Zr 2.71, 1 Mn 2.72, 2 Na 3.01
Se 0.7613 0.0224 0.2831  2 Zr 2.71-2.72, 1 Mn 2.72, 2 Na 3.01
Se 0.2582 0.5164 0.2746  3 Zr 2.75, 3 Na 2.97
Se 0.2390 0.4784 0.7168  2 Zr 2.71, 1 Mn 2.72, 2 Na 3.01
Se 0.2607 0.0220 0.2828  1 Mn 2.72, 2 Zr 2.72, 2 Na 3.01
Se 0.7393 0.9780 0.7172  1 Mn 2.72, 2 Zr 2.72, 2 Na 3.01
Se 0.7418 0.4836 0.7254  3 Zr 2.75, 3 Na 2.97
Zr 0.0000 0.5000 0.5000  6 Se 2.71-2.75
Zr 0.5000 0.0000 0.5000  6 Se 2.72-2.75
Zr 0.5000 0.5000 0.5000  6 Se 2.71-2.75
Mn 0.0000 0.0000 0.5000  6 Se 2.72



Entry 2:
A plane-wave DFT calculation with GGA-PBE was carried out for a relaxed Pm2As4Rh3 crystal.

Computed properties:
The space group is Fmmm, No. 69. For the volume, the calculation gives 173.7 Å³/cell. As for the total energy: -6.38 eV/atom. The energy of formation from the pure elements comes out at -0.806 eV per atom.

abc: 5.7422 5.7422 6.8020
angles: 101.49 101.49 121.86
Closest atoms and distances in Å follow each position.
Element x y z (fractional)
Rh 0.0000 0.5000 0.0000  4 As 2.54, 2 Rh 2.79
Rh 0.0000 0.0000 0.0000  4 As 2.50
Rh 0.5000 0.0000 0.0000  4 As 2.54, 2 Rh 2.79
As 0.6862 0.0051 0.6914  3 Rh 2.50-2.54
As 0.3138 0.9949 0.3086  3 Rh 2.50-2.54
As 0.0051 0.6862 0.6914  3 Rh 2.50-2.54
As 0.9949 0.3138 0.3086  3 Rh 2.50-2.54
Pm 0.6407 0.6407 0.2814  6 As 3.00-3.22, 6 Rh 3.29-3.36
Pm 0.3593 0.3593 0.7186  6 As 3.00-3.22, 6 Rh 3.29-3.36



Entry 3:
A plane-wave DFT calculation with GGA-PBE was carried out for a relaxed Rb4SbI crystal.

Computed properties:
The calculation puts the uncorrected formation energy at -0.70 eV per atom. The space group is Cmcm, No. 63. For the volume, the calculation gives 652.7 Å³/cell. As for the total energy: -2.29 eV/atom.

abc: 5.9153 11.4379 9.9863
angles: 90.00 90.00 105.00
Closest atoms and distances in Å follow each position.
Element x y z (fractional)
Rb 0.6718 0.8438 0.0308  3 Sb 3.77-3.86, 1 I 3.83, 3 Rb 3.96-4.08
Rb 0.1785 0.8570 0.7500  2 Sb 3.87, 6 Rb 3.96-4.08, 2 I 4.04
Rb 0.0452 0.5911 0.2500  1 Sb 3.59, 2 I 3.69
Rb 0.3282 0.1562 0.9692  3 Sb 3.77-3.86, 1 I 3.83, 3 Rb 3.96-4.08
Rb 0.9548 0.4089 0.7500  1 Sb 3.59, 2 I 3.69
Rb 0.6718 0.8438 0.4692  3 Sb 3.77-3.86, 1 I 3.83, 3 Rb 3.96-4.08
Rb 0.8215 0.1430 0.2500  2 Sb 3.87, 6 Rb 3.96-4.08, 2 I 4.04
Rb 0.3282 0.1562 0.5308  3 Sb 3.77-3.86, 1 I 3.83, 3 Rb 3.96-4.08
Sb 0.2082 0.9165 0.2500  9 Rb 3.59-3.87
Sb 0.7918 0.0835 0.7500  9 Rb 3.59-3.87
I 0.5544 0.6081 0.7500  6 Rb 3.69-4.04
I 0.4456 0.3919 0.2500  6 Rb 3.69-4.04



Entry 4:
A plane-wave DFT calculation with GGA-PBE was carried out for a relaxed Ho7SbS5 crystal.

Computed properties:
The calculation puts the uncorrected formation energy at -1.70 eV per atom. The space group is Cmcm, No. 63. For the volume, the calculation gives 587.0 Å³/cell. As for the total energy: -6.07 eV/atom.

abc: 3.9466 6.6869 23.2874
angles: 89.99 90.00 107.21
Closest atoms and distances in Å follow each position.
Element x y z (fractional)
S 0.4548 0.9099 0.8599  6 Ho 2.68-2.73
S 0.7257 0.4509 0.5701  6 Ho 2.70-2.78
S 0.0003 0.0006 0.5000  6 Ho 2.77-2.88
S 0.0003 0.0005 0.0000  6 Ho 2.77-2.88
S 0.5458 0.0912 0.3600  6 Ho 2.68-2.73
S 0.5457 0.0912 0.1401  6 Ho 2.68-2.73
S 0.2748 0.5502 0.0700  6 Ho 2.70-2.78
S 0.2749 0.5503 0.4300  6 Ho 2.70-2.78
S 0.4548 0.9100 0.6401  6 Ho 2.68-2.73
S 0.7257 0.4508 0.9299  6 Ho 2.70-2.78
Ho 0.8218 0.6429 0.6734  3 S 2.70-2.72
Ho 0.1788 0.3582 0.1734  3 S 2.70-2.72
Ho 0.8217 0.6429 0.8266  3 S 2.70-2.72
Ho 0.0936 0.1876 0.6127  5 S 2.73-2.88
Ho 0.3631 0.7258 0.5367  6 S 2.68-2.78
Ho 0.0936 0.1875 0.8872  5 S 2.73-2.88
Ho 0.9069 0.8135 0.1127  5 S 2.73-2.88
Ho 0.9070 0.8137 0.3873  5 S 2.73-2.88
Ho 0.4837 0.9668 0.2500  2 S 2.68
Ho 0.6375 0.2755 0.4634  6 S 2.68-2.78
Ho 0.6374 0.2754 0.0366  6 S 2.68-2.78
Ho 0.5169 0.0344 0.7500  2 S 2.68
Ho 0.3631 0.7257 0.9633  6 S 2.68-2.78
Ho 0.1788 0.3583 0.3267  3 S 2.70-2.72
Sb 0.1967 0.3935 0.7500  6 Ho 3.02-3.10
Sb 0.8039 0.6076 0.2500  6 Ho 3.03-3.10



Entry 5:
A plane-wave DFT calculation with GGA-PBE was carried out for a relaxed PmCu6 crystal.

Computed properties:
For the energy above the lowest structure with this stoichiometry, the calculation gives 928 meV/atom. The space group is Pm-3m, No. 221. For the volume, the calculation gives 164.8 Å³/cell. As for the total energy: -3.41 eV/atom. The energy of formation from the pure elements comes out at 0.783 eV per atom.

abc: 5.4828 5.4828 5.4828
angles: 90.00 90.00 90.00
Closest atoms and distances in Å follow each position.
Element x y z (fractional)
Cu 0.5000 0.5000 0.1975  5 Cu 2.17-2.35
Cu 0.5000 0.5000 0.8025  5 Cu 2.17-2.35
Cu 0.5000 0.1975 0.5000  5 Cu 2.17-2.35
Cu 0.1975 0.5000 0.5000  5 Cu 2.17-2.35
Cu 0.5000 0.8025 0.5000  5 Cu 2.17-2.35
Cu 0.8025 0.5000 0.5000  5 Cu 2.17-2.35
Pm 0.0000 0.0000 0.0000  24 Cu 4.03



Entry 6:
A plane-wave DFT calculation with GGA-PBE was carried out for a relaxed La5PmPr8 crystal.

Computed properties:
The space group is I-4, No. 82. For the volume, the calculation gives 514.3 Å³/cell. As for the total energy: -4.63 eV/atom. The energy of formation from the pure elements comes out at 0.204 eV per atom.

abc: 8.7495 8.7495 8.7495
angles: 111.19 106.08 111.19
Closest atoms and distances in Å follow each position.
Element x y z (fractional)
Pr 0.7229 0.2539 0.3239  5 La 3.48-3.69, 3 Pr 3.72-3.85
Pr 0.0700 0.7461 0.4691  5 La 3.48-3.69, 3 Pr 3.72-3.85
Pr 0.6761 0.3990 0.9300  5 La 3.48-3.69, 3 Pr 3.72-3.85
Pr 0.5309 0.6010 0.2771  5 La 3.48-3.69, 3 Pr 3.72-3.85
Pr 0.3323 0.2584 0.4415  1 Pm 3.21, 3 La 3.22-3.51
Pr 0.9261 0.1092 0.6677  1 Pm 3.21, 3 La 3.22-3.51
Pr 0.1831 0.7416 0.0739  1 Pm 3.21, 3 La 3.22-3.51
Pr 0.5585 0.8908 0.8169  1 Pm 3.21, 3 La 3.22-3.51
Pm 0.2500 0.5000 0.7500  4 Pr 3.21
La 0.5000 0.0000 0.5000  8 Pr 3.22-3.48
La 0.0340 0.3192 0.1384  8 Pr 3.51-3.76, 2 La 3.66
La 0.2851 0.1043 0.9660  8 Pr 3.51-3.76, 2 La 3.66
La 0.8616 0.8957 0.1808  8 Pr 3.51-3.76, 2 La 3.66
La 0.8192 0.6808 0.7149  8 Pr 3.51-3.76, 2 La 3.66



Entry 7:
A plane-wave DFT calculation with GGA-PBE was carried out for a relaxed MgUAl4 crystal.

Computed properties:
The space group is F-43m, No. 216. For the volume, the calculation gives 116.4 Å³/cell. As for the total energy: -4.63 eV/atom. The energy of formation from the pure elements comes out at 0.008 eV per atom.

abc: 5.4798 5.4798 5.4798
angles: 60.00 60.00 60.00
Closest atoms and distances in Å follow each position.
Element x y z (fractional)
Al 0.6244 0.1268 0.6244  6 Al 2.73-2.75
Al 0.1268 0.6244 0.6244  6 Al 2.73-2.75
Al 0.6244 0.6244 0.6244  6 Al 2.73-2.75
Al 0.6244 0.6244 0.1268  6 Al 2.73-2.75
U 0.2500 0.2500 0.2500  12 Al 3.21, 4 Mg 3.36
Mg 0.0000 0.0000 0.0000  12 Al 3.21, 4 U 3.36



Entry 8:
A plane-wave DFT calculation with GGA-PBE was carried out for a relaxed Tl2CdSe2 crystal.

Computed properties:
The calculation puts the uncorrected formation energy at -0.43 eV per atom. For the energy above the lowest structure with this stoichiometry, the calculation gives 10 meV/atom. The space group is Ibam, No. 72. For the volume, the calculation gives 319.4 Å³/cell. As for the total energy: -2.95 eV/atom.

abc: 8.2580 8.2580 8.2580
angles: 128.98 131.68 72.90
Closest atoms and distances in Å follow each position.
Element x y z (fractional)
Tl 0.1450 0.9898 0.8448  5 Se 3.20-3.58, 2 Cd 3.55
Tl 0.3550 0.6998 0.3448  5 Se 3.20-3.58, 2 Cd 3.55
Tl 0.8550 0.0102 0.1552  5 Se 3.20-3.58, 2 Cd 3.55
Tl 0.6450 0.3002 0.6552  5 Se 3.20-3.58, 2 Cd 3.55
Se 0.6142 0.8234 0.2092  2 Cd 2.72
Se 0.3858 0.1766 0.7908  2 Cd 2.72
Se 0.8858 0.5950 0.7092  2 Cd 2.72
Se 0.1142 0.4050 0.2908  2 Cd 2.72
Cd 0.7500 0.5000 0.2500  4 Se 2.72
Cd 0.2500 0.5000 0.7500  4 Se 2.72



Entry 9:
A plane-wave DFT calculation with GGA-PBE was carried out for a relaxed TbGaPt2 crystal.

Computed properties:
The space group is P4/mmm, No. 123. For the volume, the calculation gives 74.0 Å³/cell. As for the total energy: -5.80 eV/atom. The energy of formation from the pure elements comes out at -0.861 eV per atom.

abc: 3.3955 3.3955 6.4184
angles: 90.00 90.00 90.00
Closest atoms and distances in Å follow each position.
Element x y z (fractional)
Pt 0.0000 0.0000 0.2186  4 Ga 2.78, 1 Pt 2.81, 4 Tb 3.00
Pt 0.0000 0.0000 0.7814  4 Ga 2.78, 1 Pt 2.81, 4 Tb 3.00
Ga 0.5000 0.5000 0.0000  8 Pt 2.78
Tb 0.5000 0.5000 0.5000  8 Pt 3.00, 2 Ga 3.21



Entry 10:
A plane-wave DFT calculation with GGA-PBE was carried out for a relaxed TeIr2Br crystal.

Computed properties:
The calculation puts the uncorrected formation energy at 0.20 eV per atom. For the energy above the lowest structure with this stoichiometry, the calculation gives 0 meV/atom. The space group is Cm, No. 8. For the volume, the calculation gives 110.1 Å³/cell. As for the total energy: -5.44 eV/atom.

abc: 3.9450 3.9450 8.1684
angles: 90.10 90.10 60.00
Closest atoms and distances in Å follow each position.
Element x y z (fractional)
Br 0.8745 0.8745 0.8025  1 Ir 2.34
Ir 0.2085 0.2085 0.2154  3 Ir 2.50, 3 Te 2.70
Ir 0.8748 0.8748 0.0891  1 Br 2.34, 3 Ir 2.50
Te 0.5422 0.5422 0.3929  3 Ir 2.70



Entry 11:
A plane-wave DFT calculation with GGA-PBE was carried out for a relaxed GaSbAu crystal.

Computed properties:
The calculation puts the uncorrected formation energy at -0.06 eV per atom. For the energy above the lowest structure with this stoichiometry, the calculation gives 20 meV/atom. The space group is Amm2, No. 38. For the volume, the calculation gives 138.2 Å³/cell. As for the total energy: -3.54 eV/atom.

abc: 3.3580 3.1260 13.1690
angles: 90.00 90.00 90.00
Closest atoms and distances in Å follow each position.
Element x y z (fractional)
Ga 0.0000 0.5000 0.3942  4 Au 2.68, 1 Sb 2.77
Ga 0.0000 0.0000 0.8942  4 Au 2.68, 1 Sb 2.77
Au 0.5000 0.0000 0.4990  4 Ga 2.68, 2 Sb 2.96
Au 0.5000 0.5000 0.9990  4 Ga 2.68, 2 Sb 2.96
Sb 0.0000 0.0000 0.6840  1 Ga 2.77, 2 Au 2.96
Sb 0.0000 0.5000 0.1840  1 Ga 2.77, 2 Au 2.96



Entry 12:
A plane-wave DFT calculation with GGA-PBE was carried out for a relaxed Tm6Tl2Si crystal.

Computed properties:
The calculation puts the uncorrected formation energy at -0.34 eV per atom. The space group is P-62m, No. 189. For the volume, the calculation gives 240.3 Å³/cell. As for the total energy: -4.45 eV/atom.

abc: 3.9717 8.3568 8.3589
angles: 119.99 90.00 90.00
Closest atoms and distances in Å follow each position.
Element x y z (fractional)
Tl 0.0000 0.6666 0.3333  9 Tm 3.19-3.26
Tl 0.0000 0.3333 0.6667  9 Tm 3.19-3.26
Tm 0.5000 0.3911 0.3911  4 Tl 3.25-3.26, 1 Si 3.27, 6 Tm 3.49-3.59
Tm 0.0000 0.7494 0.7494  2 Si 2.89, 2 Tl 3.19
Tm 0.0000 0.0000 0.2506  2 Si 2.89, 2 Tl 3.19
Tm 0.5000 0.0000 0.6089  4 Tl 3.25-3.26, 1 Si 3.27, 6 Tm 3.49-3.59
Tm 0.5000 0.6088 0.0000  4 Tl 3.25, 1 Si 3.27, 6 Tm 3.49-3.59
Tm 0.0000 0.2507 0.0000  2 Si 2.89, 2 Tl 3.19
Si 0.5000 0.0000 0.0000  6 Tm 2.89